Record 1
LiYCo2: PBEsol geometry, meta-GGA SCAN.

Values from the calculation:
SG	I4/mmm

Unit cell a=4.6629 b=4.6629 c=4.6629 alpha=130.15 beta=130.15 gamma=73.17
Last column: nearest neighbours and their distance in Å.
Fractional positions:
Li 0.0000 0.0000 0.0000  8 Co 2.71, 4 Y 2.78
Y 0.5000 0.5000 0.0000  8 Co 2.71, 4 Li 2.78
Co 0.2500 0.7500 0.5000  4 Y 2.71, 4 Li 2.71, 4 Co 2.78
Co 0.7500 0.2500 0.5000  4 Y 2.71, 4 Li 2.71, 4 Co 2.78

=====

Record 2
Li2CaTaTc: PBEsol geometry, meta-GGA SCAN.

Values from the calculation:
SG	P4/mmm

Unit cell a=3.9785 b=3.9785 c=5.1149 alpha=90.00 beta=90.00 gamma=90.00
Last column: nearest neighbours and their distance in Å.
Fractional positions:
Li 0.0000 0.5000 0.0000  2 Ca 1.99
Li 0.5000 0.0000 0.0000  2 Ca 1.99
Ca 0.0000 0.0000 0.0000  4 Li 1.99
Ta 0.0000 0.0000 0.5000  2 Ca 2.56, 4 Tc 2.81
Tc 0.5000 0.5000 0.5000  4 Ta 2.81

=====

Record 3
Ca2YZrTa: PBEsol geometry, meta-GGA SCAN.

Values from the calculation:
SG	P4/mmm

Unit cell a=5.6017 b=5.6017 c=5.0506 alpha=90.00 beta=90.00 gamma=90.00
Last column: nearest neighbours and their distance in Å.
Fractional positions:
Ca 0.0000 0.5000 0.0000  2 Ta 2.80
Ca 0.5000 0.0000 0.0000  2 Ta 2.80
Y 0.0000 0.0000 0.5000  8 Ca 3.77, 4 Zr 3.96
Zr 0.5000 0.5000 0.5000  2 Ta 2.53
Ta 0.5000 0.5000 0.0000  2 Zr 2.53, 4 Ca 2.80

=====

no.,final energy (eV per atom),E_form (eV/atom)
1,-15.9436,0.267
2,-21.5683,1.649
3,-28.0478,0.843